Record 1
Compound: Re3SiPt
Source: the Alexandria database
Functional: GGA-PBEsol
Structure: relaxed

```
Re3SiPt
1.0
4.3204 0.0000 0.0000
0.0000 4.3204 0.0000
0.0000 0.0000 4.3204
Re Si Pt
3 1 1
direct
0.0000 0.0000 0.5000
0.0000 0.5000 0.0000
0.5000 0.0000 0.0000
0.0000 0.0000 0.0000
0.5000 0.5000 0.5000
```

Computed properties:
**E_form (uncorrected)**: 1.308 eV per atom
**Final energy**: -9.23 eV/atom

Record 2
Compound: Re2SnTePt
Source: the Alexandria database
Functional: GGA-PBEsol
Structure: relaxed

```
Re2SnTePt
1.0
4.9155 0.0000 0.0000
0.0000 4.9155 0.0000
0.0000 0.0000 4.7875
Re Sn Te Pt
2 1 1 1
direct
0.0000 0.5000 0.0000
0.5000 0.0000 0.0000
0.0000 0.0000 0.0000
0.5000 0.5000 0.5000
0.0000 0.0000 0.5000
```

Computed properties:
**E_form (uncorrected)**: 2.245 eV per atom
**Final energy**: -6.04 eV/atom

Record 3
Compound: TaRePt2
Source: the Alexandria database
Functional: GGA-PBEsol
Structure: relaxed

```
TaRePt2
1.0
3.3150 0.0000 0.0000
0.0000 3.3150 0.0000
0.0000 0.0000 5.6579
Ta Re Pt
1 1 2
direct
0.0000 0.0000 0.0000
0.5000 0.5000 0.7291
0.0000 0.0000 0.5000
0.5000 0.5000 0.2444
```

Computed properties:
**Energy relative to the elements**: -1.1 eV per formula unit
**Final energy**: -10.23 eV/atom

final energy of number 1 (Re3SiPt)? -9.23 eV/atom